The following is a PBE calculation of a relaxed Rb3Mg2MnCl9 crystal, from Alexandria via LeMat-Bulk.

Summary:
- crystal system = trigonal
- uncorrected formation energy (meV/atom) = -1754.8
- space-group type = P-3m1 (164)
- energy (eV/atom) = -3.880
- DOS at the Fermi energy (states/eV per cell) = 0.00

Unit cell a=7.170 b=7.170 c=8.782 alpha=90.00 beta=90.00 gamma=120.00
Fractional positions:
1 Cl 0.666 0.833 0.333
2 Cl 0.500 0.500 0.000
3 Cl 0.167 0.833 0.333
4 Cl 0.500 0.000 0.000
5 Cl 0.334 0.167 0.667
6 Cl 0.833 0.167 0.667
7 Cl 0.833 0.666 0.667
8 Cl 0.000 0.500 0.000
9 Cl 0.167 0.334 0.333
10 Rb 0.667 0.333 0.334
11 Rb 0.333 0.667 0.666
12 Rb 0.000 0.000 0.000
13 Mn 0.000 0.000 0.500
14 Mg 0.667 0.333 0.834
15 Mg 0.333 0.667 0.166

=====

The following is a PBE calculation of a relaxed MgMnS2Cl crystal, from Alexandria via LeMat-Bulk.

Summary:
- crystal system = tetragonal
- uncorrected formation energy (meV/atom) = -130.7
- offset from the most stable computed form (kJ/mol of atoms) = 28.3
- space-group type = P4/mmm (123)
- energy (eV/atom) = -4.304
- DOS at the Fermi energy (states/eV per cell) = 3.70

Unit cell a=4.810 b=4.810 c=4.759 alpha=90.00 beta=90.00 gamma=90.00
Fractional positions:
1 Mn 0.500 0.500 0.500
2 Mg 0.000 0.000 0.000
3 S 0.000 0.500 0.000
4 S 0.500 0.000 0.000
5 Cl 0.000 0.000 0.500

=====

The following is a PBE calculation of a relaxed MgMnSCl2 crystal, from Alexandria via LeMat-Bulk.

Summary:
- crystal system = tetragonal
- uncorrected formation energy (meV/atom) = -570.4
- offset from the most stable computed form (kJ/mol of atoms) = 3.5
- space-group type = P4/mmm (123)
- energy (eV/atom) = -4.287
- DOS at the Fermi energy (states/eV per cell) = 0.74

Unit cell a=4.643 b=4.643 c=5.249 alpha=90.00 beta=90.00 gamma=90.00
Fractional positions:
1 Mn 0.500 0.500 0.500
2 Mg 0.000 0.000 0.000
3 Cl 0.000 0.500 0.000
4 Cl 0.500 0.000 0.000
5 S 0.000 0.000 0.500

=====

Question: Which value of DOS at the Fermi energy does entry 2 give?
Answer: 3.70 states/eV per cell

=====

Question: Which of these has the highest energy?
Answer: Rb3Mg2MnCl9

=====

Question: Which value of DOS at the Fermi energy does entry 3 give?
Answer: 0.74 states/eV per cell

=====

Question: Among the records above, which one has the highest uncorrected formation energy?
Answer: MgMnS2Cl